(1)
Below is a relaxed Ho3Mg3In2Pt crystal, with properties calculated at the PBE level.

Properties
Raw total energy = -3.89 eV per atom
Total magnetic moment = 0.0 μB/f.u.
SG = P-62m, No. 189

a = 7.4628 Å, b = 7.4628 Å, c = 4.4695 Å
α = 90.00°, β = 90.00°, γ = 120.00°
With the nearest neighbours (Å) after each atom.
Positions (direct):
Ho 0.6011 0.0000 0.0000  1 Pt 2.98, 4 In 3.19
Ho 0.3989 0.3989 0.0000  1 Pt 2.98, 4 In 3.19
Ho 0.0000 0.6011 0.0000  1 Pt 2.98, 4 In 3.19
In 0.6667 0.3333 0.5000  3 Mg 2.94, 6 Ho 3.19
In 0.3333 0.6667 0.5000  3 Mg 2.94, 6 Ho 3.19
Mg 0.2319 0.0000 0.5000  2 Pt 2.83, 2 In 2.94, 2 Mg 3.00
Mg 0.0000 0.2319 0.5000  2 Pt 2.83, 2 In 2.94, 2 Mg 3.00
Mg 0.7681 0.7681 0.5000  2 Pt 2.83, 2 In 2.94, 2 Mg 3.00
Pt 0.0000 0.0000 0.0000  6 Mg 2.83, 3 Ho 2.98

---

(2)
Below is a relaxed CdFeGeSe3 crystal, with properties calculated at the PBE level.

Properties
Raw total energy = -4.07 eV per atom
Total magnetic moment = 3.3 μB/f.u.
SG = Cmcm, No. 63
Polymorph energy (0 for the lowest one) = 12.7 kJ per mole of atoms

a = 3.6541 Å, b = 11.3635 Å, c = 6.9768 Å
α = 90.00°, β = 105.18°, γ = 90.00°
With the nearest neighbours (Å) after each atom.
Positions (direct):
Cd 0.5315 0.0000 0.0630  4 Se 2.60-2.79
Cd 0.4685 0.5000 0.9370  4 Se 2.60-2.79
Fe 0.0000 0.2500 0.0000  4 Se 2.52
Fe 0.0000 0.7500 0.0000  4 Se 2.52
Ge 0.2392 0.0000 0.4785  2 Se 2.58
Ge 0.7608 0.5000 0.5215  2 Se 2.58
Se 0.6220 0.2017 0.2441  2 Fe 2.52, 1 Cd 2.60
Se 0.6220 0.7983 0.2441  2 Fe 2.52, 1 Cd 2.60
Se 0.1253 0.5000 0.2506  2 Ge 2.58, 2 Cd 2.79
Se 0.8747 0.0000 0.7494  2 Ge 2.58, 2 Cd 2.79
Se 0.3780 0.2983 0.7559  2 Fe 2.52, 1 Cd 2.60
Se 0.3780 0.7017 0.7559  2 Fe 2.52, 1 Cd 2.60

---

(3)
Below is a relaxed HfSi2Mo crystal, with properties calculated at the PBE level.

Properties
Raw total energy = -7.82 eV per atom
Total magnetic moment = 0.0 μB/f.u.
SG = F-43m, No. 216

a = 4.4615 Å, b = 4.4615 Å, c = 4.4615 Å
α = 60.00°, β = 60.00°, γ = 60.00°
With the nearest neighbours (Å) after each atom.
Positions (direct):
Hf 0.5000 0.5000 0.5000  4 Mo 2.73, 4 Si 2.73
Mo 0.7500 0.7500 0.7500  4 Hf 2.73, 4 Si 2.73
Si 0.0000 0.0000 0.0000  4 Mo 2.73, 4 Si 2.73
Si 0.2500 0.2500 0.2500  4 Hf 2.73, 4 Si 2.73

---

(4)
Below is a relaxed NdZnCu2Pt2 crystal, with properties calculated at the PBE level.

Properties
Raw total energy = -4.87 eV per atom
Formation energy from the elements = -0.61 eV/atom
Total magnetic moment = 0.0 μB/f.u.
SG = Cmmm, No. 65

a = 5.2277 Å, b = 5.2277 Å, c = 4.1303 Å
α = 90.00°, β = 90.00°, γ = 115.69°
With the nearest neighbours (Å) after each atom.
Positions (direct):
Cu 0.6592 0.3408 0.0000  2 Zn 2.50, 4 Pt 2.62
Cu 0.3408 0.6592 0.0000  2 Zn 2.50, 4 Pt 2.62
Nd 0.0000 0.0000 0.0000  6 Cu 3.02-3.12, 8 Pt 3.33
Pt 0.5000 0.0000 0.5000  2 Zn 2.61, 4 Cu 2.62, 2 Pt 2.78
Pt 0.0000 0.5000 0.5000  2 Zn 2.61, 4 Cu 2.62, 2 Pt 2.78
Zn 0.5000 0.5000 0.5000  4 Cu 2.50, 4 Pt 2.61

---

(5)
Below is a relaxed BeInCoAu crystal, with properties calculated at the PBE level.

Properties
Raw total energy = -4.03 eV per atom
Total magnetic moment = 1.1 μB/f.u.
SG = F-43m, No. 216
Polymorph energy (0 for the lowest one) = 0.0 kJ per mole of atoms

a = 4.3750 Å, b = 4.3750 Å, c = 4.3750 Å
α = 60.00°, β = 60.00°, γ = 60.00°
With the nearest neighbours (Å) after each atom.
Positions (direct):
Au 0.2500 0.2500 0.2500  4 Be 2.68, 4 In 2.68
Be 0.5000 0.5000 0.5000  4 Au 2.68, 4 Co 2.68
Co 0.7500 0.7500 0.7500  4 In 2.68, 4 Be 2.68
In 0.0000 0.0000 0.0000  4 Co 2.68, 4 Au 2.68

---

(6)
Below is a relaxed HgBNO crystal, with properties calculated at the PBE level.

Properties
Raw total energy = -4.72 eV per atom
SG = P4/nmm, No. 129
Polymorph energy (0 for the lowest one) = 87.7 kJ per mole of atoms

a = 2.8290 Å, b = 2.8290 Å, c = 11.5723 Å
α = 90.00°, β = 90.00°, γ = 90.00°
With the nearest neighbours (Å) after each atom.
Positions (direct):
B 0.7500 0.2500 0.5000  4 N 1.58
B 0.2500 0.7500 0.5000  4 N 1.58
Hg 0.2500 0.2500 0.1909  4 O 2.62, 4 Hg 2.83, 1 N 2.88
Hg 0.7500 0.7500 0.8091  4 O 2.62, 4 Hg 2.83, 1 N 2.88
N 0.2500 0.2500 0.4395  4 B 1.58
N 0.7500 0.7500 0.5605  4 B 1.58
O 0.7500 0.2500 0.0000  4 O 2.00
O 0.2500 0.7500 0.0000  4 O 2.00

---

(7)
Below is a relaxed DyPuPd crystal, with properties calculated at the PBE level.

Properties
Raw total energy = -8.26 eV per atom
Formation energy from the elements = -0.30 eV/atom
Total magnetic moment = 6.4 μB/f.u.
SG = F-43m, No. 216
Polymorph energy (0 for the lowest one) = 0.0 kJ per mole of atoms

a = 4.8665 Å, b = 4.8665 Å, c = 4.8665 Å
α = 60.00°, β = 60.00°, γ = 60.00°
With the nearest neighbours (Å) after each atom.
Positions (direct):
Dy 0.2500 0.2500 0.2500  4 Pd 2.98
Pd 0.0000 0.0000 0.0000  4 Dy 2.98, 4 Pu 2.98
Pu 0.7500 0.7500 0.7500  4 Pd 2.98

---

(8)
Below is a relaxed Ba3SrZn2 crystal, with properties calculated at the PBE level.

Properties
Raw total energy = -1.80 eV per atom
SG = P4mm, No. 99

a = 4.1075 Å, b = 4.1075 Å, c = 14.6868 Å
α = 90.00°, β = 90.00°, γ = 90.00°
With the nearest neighbours (Å) after each atom.
Positions (direct):
Ba 0.5000 0.5000 0.3652  4 Zn 3.51, 1 Ba 3.88
Ba 0.5000 0.5000 0.6291  4 Zn 3.47, 1 Ba 3.88
Ba 0.0000 0.0000 0.8709  4 Zn 3.52, 1 Sr 3.79
Sr 0.0000 0.0000 0.1292  4 Zn 3.42, 1 Ba 3.79
Zn 0.5000 0.5000 0.0061  4 Sr 3.42, 4 Ba 3.52
Zn 0.0000 0.0000 0.4994  8 Ba 3.47-3.51

---

(9)
Below is a relaxed NdY2Sn3Pt3 crystal, with properties calculated at the PBE level.

Properties
Raw total energy = -6.40 eV per atom
Total magnetic moment = 0.0 μB/f.u.
SG = Amm2, No. 38

a = 4.0722 Å, b = 7.5640 Å, c = 7.5640 Å
α = 120.15°, β = 90.00°, γ = 90.00°
With the nearest neighbours (Å) after each atom.
Positions (direct):
Nd 0.0000 0.5917 0.5917  5 Pt 3.10-3.11, 6 Sn 3.25-3.39
Pt 0.0000 0.0038 0.0038  6 Sn 2.79-2.82, 2 Y 3.06, 1 Nd 3.11
Pt 0.5000 0.6687 0.3291  3 Sn 2.81-2.88, 4 Y 3.05-3.06, 2 Nd 3.10
Pt 0.5000 0.3291 0.6687  3 Sn 2.81-2.88, 4 Y 3.05-3.06, 2 Nd 3.10
Sn 0.5000 0.7438 0.0014  4 Pt 2.81-2.87
Sn 0.5000 0.2564 0.2564  4 Pt 2.79-2.88
Sn 0.5000 0.0014 0.7438  4 Pt 2.81-2.87
Y 0.0000 0.9994 0.4056  5 Pt 3.05-3.06, 6 Sn 3.26-3.38
Y 0.0000 0.4056 0.9994  5 Pt 3.05-3.06, 6 Sn 3.26-3.38

---

(10)
Below is a relaxed NaUAgSe3 crystal, with properties calculated at the PBE level.

Properties
Raw total energy = -5.23 eV per atom
Total magnetic moment = 2.0 μB/f.u.
SG = Cmcm, No. 63

a = 7.1038 Å, b = 7.1038 Å, c = 10.8247 Å
α = 90.00°, β = 90.00°, γ = 145.86°
With the nearest neighbours (Å) after each atom.
Positions (direct):
Ag 0.9665 0.0335 0.2500  4 Se 2.59-2.65
Ag 0.0335 0.9665 0.7500  4 Se 2.59-2.65
Na 0.2559 0.7441 0.2500  6 Se 3.10-3.34
Na 0.7441 0.2559 0.7500  6 Se 3.10-3.34
Se 0.8619 0.1381 0.0495  1 Ag 2.59, 2 U 2.86
Se 0.5866 0.4134 0.2500  2 Ag 2.65, 2 U 2.95
Se 0.8619 0.1381 0.4505  1 Ag 2.59, 2 U 2.86
Se 0.1381 0.8619 0.5495  1 Ag 2.59, 2 U 2.86
Se 0.4134 0.5866 0.7500  2 Ag 2.65, 2 U 2.95
Se 0.1381 0.8619 0.9505  1 Ag 2.59, 2 U 2.86
U 0.5000 0.5000 0.0000  6 Se 2.86-2.95
U 0.5000 0.5000 0.5000  6 Se 2.86-2.95

---

(11)
Below is a relaxed ScCoBPt crystal, with properties calculated at the PBE level.

Properties
Raw total energy = -6.61 eV per atom
Total magnetic moment = 1.0 μB/f.u.
SG = F-43m, No. 216
Polymorph energy (0 for the lowest one) = 0.0 kJ per mole of atoms

a = 4.1726 Å, b = 4.1726 Å, c = 4.1726 Å
α = 60.00°, β = 60.00°, γ = 60.00°
With the nearest neighbours (Å) after each atom.
Positions (direct):
B 0.0000 0.0000 0.0000  4 Pt 2.56, 4 Co 2.56
Co 0.7500 0.7500 0.7500  4 Sc 2.56, 4 B 2.56
Pt 0.2500 0.2500 0.2500  4 Sc 2.56, 4 B 2.56
Sc 0.5000 0.5000 0.5000  4 Pt 2.56, 4 Co 2.56

---

(12)
Below is a relaxed HfPtW2 crystal, with properties calculated at the PBE level.

Properties
Raw total energy = -10.61 eV per atom
Formation energy from the elements = -0.12 eV/atom
Total magnetic moment = 0.0 μB/f.u.
SG = F-43m, No. 216

a = 4.5806 Å, b = 4.5806 Å, c = 4.5806 Å
α = 60.00°, β = 60.00°, γ = 60.00°
With the nearest neighbours (Å) after each atom.
Positions (direct):
Hf 0.5000 0.5000 0.5000  4 Pt 2.80-2.81, 4 W 2.81
Pt 0.7500 0.7500 0.7500  4 Hf 2.80-2.81, 4 W 2.81
W 0.0000 0.0000 0.0000  4 Pt 2.81, 4 W 2.81
W 0.2500 0.2500 0.2500  4 Hf 2.81, 4 W 2.81

---

Question: raw total energy of number 8 (Ba3SrZn2)?
Answer: -1.80 eV per atom